The following is a GGA-PBE calculation of a geometry-optimized PrYZnPd structure, from Alexandria.

```
PrYZnPd
1.0
4.5547 0.0000 0.0000
0.0000 3.9285 0.0000
0.0000 0.0000 10.9641
Pr Y Zn Pd
2 2 2 2
Direct
0.0000 0.0000 0.0000
0.0000 0.5000 0.5000
0.5000 0.0000 0.7170
0.5000 0.5000 0.2170
0.5000 0.0000 0.4283
0.5000 0.5000 0.9283
0.0000 0.0000 0.2826
0.0000 0.5000 0.7826
```

The value obtained for the raw total energy is -4.986 eV/atom. The value obtained for the density of states at the Fermi level is 0.91 states/eV/atom. The polymorph energy (0 for the lowest one) comes out at 0.000 eV per formula unit. Its formation energy is -0.558 eV per atom.